Compound: PmPrSm4
Source: Alexandria via LeMat-Bulk
Functional: GGA-PBE
Structure: relaxed

Values from the calculation:
Distance to the lowest polymorph of the same formula = 0.000 eV per atom
Energy = -4.721 eV/atom
E_form = 0.014 eV/atom

```
data_PmPrSm4
_chemical_formula_sum 'Pm2 Pr2 Sm8'
_symmetry_space_group_name_H-M 'C 1 2/m 1'
_symmetry_Int_Tables_number 12
_cell_length_a 6.322
_cell_length_b 10.942
_cell_length_c 6.316
_cell_angle_alpha 90.00
_cell_angle_beta 109.51
_cell_angle_gamma 90.00
loop_
_symmetry_equiv_pos_as_xyz
'x,y,z'
'-x,-y,-z'
'-x,y,-z'
'x,-y,z'
'x+1/2,y+1/2,z'
'-x+1/2,-y+1/2,-z'
'-x+1/2,y+1/2,-z'
'x+1/2,-y+1/2,z'
loop_
_atom_site_label
_atom_site_type_symbol
_atom_site_fract_x
_atom_site_fract_y
_atom_site_fract_z
Pm1 Pm 0.000 0.000 0.000
Pr1 Pr 0.000 0.500 0.500
Sm1 Sm 0.000 0.167 0.500
Sm2 Sm 0.000 0.333 0.000
```